# Tl2PbCl (GGA-PBEsol, optimized geometry)
# * total energy: -3.14 eV per atom
# * symmetry: Cm
# * M_tot: 0.000 μB per atom
# * Fermi-level density of states: 1.5 states/eV per cell
data_Tl2PbCl
_cell_length_a 3.538
_cell_length_b 5.321
_cell_length_c 6.221
_cell_angle_alpha 90.14
_cell_angle_beta 106.52
_cell_angle_gamma 90.00
_symmetry_space_group_name_H-M 'P 1'
_symmetry_Int_Tables_number 1
loop_
_symmetry_equiv_pos_as_xyz
'x,y,z'
loop_
_atom_site_label
_atom_site_fract_x
_atom_site_fract_y
_atom_site_fract_z
Tl1 0.729 0.627 0.458
Tl2 0.009 0.122 0.019
Cl1 0.485 0.623 0.970
Pb1 0.277 0.128 0.554

***

# TaMn2CoSi (GGA-PBEsol, optimized geometry)
# * total energy: -7.48 eV per atom
# * symmetry: P4/mmm
# * M_tot: 1.110 μB per atom
# * Fermi-level density of states: 4.0 states/eV per cell
data_TaMn2CoSi
_cell_length_a 4.376
_cell_length_b 4.546
_cell_length_c 4.546
_cell_angle_alpha 90.00
_cell_angle_beta 90.00
_cell_angle_gamma 90.00
_symmetry_space_group_name_H-M 'P 1'
_symmetry_Int_Tables_number 1
loop_
_symmetry_equiv_pos_as_xyz
'x,y,z'
loop_
_atom_site_label
_atom_site_fract_x
_atom_site_fract_y
_atom_site_fract_z
Si1 0.500 0.500 0.500
Ta1 0.000 0.000 0.000
Co1 0.500 0.000 0.000
Mn1 0.000 0.000 0.500
Mn2 0.000 0.500 0.000

***

# Mn2InAgBi (GGA-PBEsol, optimized geometry)
# * symmetry: P4/mmm
# * ΔE_f: 0.995 eV/atom
# * M_tot: 1.749 μB per atom
# * Fermi-level density of states: 3.3 states/eV per cell
data_Mn2InAgBi
_cell_length_a 4.945
_cell_length_b 4.945
_cell_length_c 5.335
_cell_angle_alpha 90.00
_cell_angle_beta 90.00
_cell_angle_gamma 90.00
_symmetry_space_group_name_H-M 'P 1'
_symmetry_Int_Tables_number 1
loop_
_symmetry_equiv_pos_as_xyz
'x,y,z'
loop_
_atom_site_label
_atom_site_fract_x
_atom_site_fract_y
_atom_site_fract_z
Mn1 0.500 0.000 0.000
Mn2 0.000 0.500 0.000
Bi1 0.000 0.000 0.500
Ag1 0.000 0.000 0.000
In1 0.500 0.500 0.500

***

# AlRu (GGA-PBEsol, optimized geometry)
# * symmetry: R-3m
# * ΔE_f: -0.331 eV/atom
# * M_tot: 0.000 μB per atom
# * Fermi-level density of states: 1.7 states/eV per cell
data_AlRu
_cell_length_a 2.831
_cell_length_b 2.831
_cell_length_c 4.283
_cell_angle_alpha 70.70
_cell_angle_beta 70.70
_cell_angle_gamma 60.00
_symmetry_space_group_name_H-M 'P 1'
_symmetry_Int_Tables_number 1
loop_
_symmetry_equiv_pos_as_xyz
'x,y,z'
loop_
_atom_site_label
_atom_site_fract_x
_atom_site_fract_y
_atom_site_fract_z
Ru1 0.500 0.500 0.500
Al1 0.000 0.000 0.000

***

# Cs5SiP3 (GGA-PBEsol, optimized geometry)
# * total energy: -3.50 eV per atom
# * symmetry: Pnma
# * M_tot: 0.000 μB per atom
data_Cs5SiP3
_cell_length_a 5.886
_cell_length_b 13.948
_cell_length_c 15.434
_cell_angle_alpha 90.00
_cell_angle_beta 90.00
_cell_angle_gamma 90.00
_symmetry_space_group_name_H-M 'P 1'
_symmetry_Int_Tables_number 1
loop_
_symmetry_equiv_pos_as_xyz
'x,y,z'
loop_
_atom_site_label
_atom_site_fract_x
_atom_site_fract_y
_atom_site_fract_z
Si1 0.750 0.240 0.063
Si2 0.250 0.260 0.563
Si3 0.750 0.740 0.437
Si4 0.250 0.760 0.937
Cs1 0.250 0.617 0.688
Cs2 0.750 0.883 0.188
Cs3 0.250 0.117 0.812
Cs4 0.750 0.957 0.647
Cs5 0.750 0.228 0.706
Cs6 0.750 0.383 0.312
Cs7 0.750 0.457 0.853
Cs8 0.750 0.938 0.952
Cs9 0.250 0.543 0.147
Cs10 0.750 0.648 0.050
Cs11 0.250 0.062 0.048
Cs12 0.250 0.852 0.550
Cs13 0.250 0.272 0.206
Cs14 0.250 0.352 0.950
Cs15 0.250 0.562 0.452
Cs16 0.250 0.772 0.294
Cs17 0.250 0.043 0.353
Cs18 0.750 0.728 0.794
Cs19 0.750 0.148 0.450
Cs20 0.750 0.438 0.548
P1 0.250 0.865 0.830
P2 0.750 0.895 0.414
P3 0.750 0.635 0.330
P4 0.750 0.135 0.170
P5 0.250 0.806 0.073
P6 0.750 0.395 0.086
P7 0.750 0.194 0.927
P8 0.250 0.605 0.914
P9 0.250 0.365 0.670
P10 0.750 0.694 0.573
P11 0.250 0.306 0.427
P12 0.250 0.105 0.586

***

# ReBMo2I (GGA-PBEsol, optimized geometry)
# * total energy: -8.23 eV per atom
# * symmetry: P4/mmm
# * M_tot: 0.000 μB per atom
# * Fermi-level density of states: 7.0 states/eV per cell
data_ReBMo2I
_cell_length_a 4.141
_cell_length_b 4.315
_cell_length_c 4.315
_cell_angle_alpha 90.00
_cell_angle_beta 90.00
_cell_angle_gamma 90.00
_symmetry_space_group_name_H-M 'P 1'
_symmetry_Int_Tables_number 1
loop_
_symmetry_equiv_pos_as_xyz
'x,y,z'
loop_
_atom_site_label
_atom_site_fract_x
_atom_site_fract_y
_atom_site_fract_z
I1 0.500 0.500 0.500
Mo1 0.000 0.000 0.500
Mo2 0.000 0.500 0.000
Re1 0.500 0.000 0.000
B1 0.000 0.000 0.000